Density functional theory data (PBE) for crystalline Li2CdHg at its relaxed geometry.

Cell lengths 4.948, 3.213, 5.449 Å; angles 90.00, 111.36, 90.00 degrees
Space group P2/m (No. 10)
Asymmetric unit:
Li: 0.000 0.000 0.000 (multiplicity 1)
Li: 0.000 0.500 0.500 (multiplicity 1)
Cd: 0.500 0.000 0.500 (multiplicity 1)
Hg: 0.500 0.500 0.000 (multiplicity 1)

Calculated values
Energy relative to the lowest polymorph listed for this composition: 0.47 eV per formula unit
E_tot: -1.464 eV per atom
Energy of formation from the pure elements: -0.203 eV per atom
V: 81 Å³ per cell
Crystal system: monoclinic